one | # LaPWCl2 | Alexandria | PBE-GGA | optimized geometry
data_LaPWCl2
_cell_length_a 5.330
_cell_length_b 5.330
_cell_length_c 5.989
_cell_angle_alpha 90.00
_cell_angle_beta 90.00
_cell_angle_gamma 90.00
_symmetry_space_group_name_H-M 'P 4/m m m'
_symmetry_Int_Tables_number 123
_symmetry_space_group_name_Hall '-P 4 2'
loop_
_atom_site_label
_atom_site_type_symbol
_atom_site_fract_x
_atom_site_fract_y
_atom_site_fract_z
La1 La 0.000 0.000 0.000
P1 P 0.000 0.000 0.500
W1 W 0.500 0.500 0.500
Cl1 Cl 0.000 0.500 0.000
# volume = 34.032 Å³ per atom
# D(E_F) = 0.86 states/eV/atom



two | # LaPWCl2 | Alexandria | PBE-GGA | optimized geometry
data_LaPWCl2
_cell_length_a 4.810
_cell_length_b 4.810
_cell_length_c 4.772
_cell_angle_alpha 90.00
_cell_angle_beta 90.00
_cell_angle_gamma 90.00
_symmetry_space_group_name_H-M 'P 4/m m m'
_symmetry_Int_Tables_number 123
_symmetry_space_group_name_Hall '-P 4 2'
loop_
_atom_site_label
_atom_site_type_symbol
_atom_site_fract_x
_atom_site_fract_y
_atom_site_fract_z
La1 La 0.000 0.000 0.000
P1 P 0.500 0.500 0.000
W1 W 0.500 0.500 0.500
Cl1 Cl 0.000 0.500 0.500
# volume = 22.083 Å³ per atom
# D(E_F) = 1.01 states/eV/atom



Energies relative to the minimum, eV/atom: one 0.755; two 0.000